No. 1
An optimized crystal structure of Th2NbGa. Source: Alexandria via LeMat-Bulk, functional PBE-GGA.

abc: 11.240 11.240 11.240
angles: 16.79 16.79 16.79
Fractional coordinates of all 4 atoms:
Th 0.089 0.089 0.089
Th 0.911 0.911 0.911
Nb 0.000 0.000 0.000
Ga 0.500 0.500 0.500

Calculated values
E: -6.601 eV per atom
Volume: 103 Å³/cell
Energy of formation from the pure elements: 0.383 eV/atom
Space-group type: No. 166
Total magnetization: 0.00 μB/f.u.



No. 2
An optimized crystal structure of Mg2FeBr. Source: Alexandria via LeMat-Bulk, functional PBE-GGA.

abc: 3.284 4.397 5.538
angles: 90.00 107.10 90.00
Fractional coordinates of all 4 atoms:
Mg 0.000 0.000 0.000
Mg 0.326 0.500 0.657
Fe 0.743 0.000 0.490
Br 0.602 0.500 0.206

Calculated values
E_form (uncorrected): 13 kJ/mol of atoms
E above lowest polymorph: 216.6 meV per atom
E: -3.193 eV per atom
Volume: 76 Å³/cell
Space-group type: No. 6
Total magnetization: 1.92 μB/f.u.



No. 3
An optimized crystal structure of AcSi2SnPt5. Source: Alexandria via LeMat-Bulk, functional PBE-GGA.

abc: 4.102 4.102 11.134
angles: 90.00 90.00 90.00
Fractional coordinates of all 9 atoms:
Ac 0.000 0.000 0.000
Si 0.500 0.500 0.214
Si 0.500 0.500 0.786
Sn 0.000 0.000 0.500
Pt 0.000 0.500 0.325
Pt 0.000 0.500 0.675
Pt 0.500 0.000 0.325
Pt 0.500 0.000 0.675
Pt 0.500 0.500 0.000

Calculated values
E_form (uncorrected): -72 kJ/mol of atoms
E: -6.213 eV per atom
Volume: 187 Å³/cell
Space-group type: No. 123
Total magnetization: 0.00 μB/f.u.



No. 4
An optimized crystal structure of Li2SmGa6. Source: Alexandria via LeMat-Bulk, functional PBE-GGA.

abc: 7.262 7.262 7.262
angles: 147.51 120.78 69.19
Fractional coordinates of all 9 atoms:
Li 0.117 0.117 0.000
Li 0.883 0.883 0.000
Sm 0.500 0.000 0.500
Ga 0.122 0.308 0.814
Ga 0.171 0.500 0.671
Ga 0.493 0.308 0.186
Ga 0.507 0.692 0.814
Ga 0.829 0.500 0.329
Ga 0.878 0.692 0.186

Calculated values
E: -3.282 eV per atom
Volume: 174 Å³/cell
Energy of formation from the pure elements: -0.315 eV/atom
Space-group type: No. 71
Total magnetization: 0.00 μB/f.u.



No. 5
An optimized crystal structure of AcBeNi. Source: Alexandria via LeMat-Bulk, functional PBE-GGA.

abc: 6.138 6.138 5.442
angles: 101.90 101.90 38.53
Fractional coordinates of all 6 atoms:
Ac 0.109 0.109 0.309
Ac 0.891 0.891 0.691
Be 0.370 0.370 0.169
Be 0.630 0.630 0.831
Ni 0.207 0.207 0.867
Ni 0.793 0.793 0.133

Calculated values
E: -4.683 eV per atom
Volume: 125 Å³/cell
Energy of formation from the pure elements: -0.144 eV/atom
Space-group type: No. 12
Total magnetization: 0.00 μB/f.u.



No. 6
An optimized crystal structure of Y3B8Ir3. Source: Alexandria via LeMat-Bulk, functional PBE-GGA.

abc: 7.263 7.263 7.263
angles: 152.58 100.62 85.87
Fractional coordinates of all 14 atoms:
Y 0.000 0.000 0.000
Y 0.293 0.293 0.000
Y 0.707 0.707 0.000
B 0.006 0.301 0.705
B 0.155 0.862 0.292
B 0.404 0.699 0.705
B 0.430 0.138 0.292
B 0.570 0.862 0.708
B 0.596 0.301 0.295
B 0.845 0.138 0.708
B 0.994 0.699 0.295
Ir 0.259 0.500 0.759
Ir 0.500 0.000 0.500
Ir 0.741 0.500 0.241

Calculated values
E: -7.321 eV per atom
Volume: 170 Å³/cell
Energy of formation from the pure elements: -0.221 eV/atom
Space-group type: No. 71
Total magnetization: 0.24 μB/f.u.



No. 7
An optimized crystal structure of LuGaNi2. Source: Alexandria via LeMat-Bulk, functional PBE-GGA.

abc: 4.218 4.218 3.434
angles: 90.00 90.00 90.00
Fractional coordinates of all 4 atoms:
Lu 0.000 0.000 0.000
Ga 0.500 0.500 0.000
Ni 0.000 0.500 0.500
Ni 0.500 0.000 0.500

Calculated values
E: -5.159 eV per atom
Volume: 61 Å³/cell
Energy of formation from the pure elements: -0.382 eV/atom
Space-group type: No. 123
Total magnetization: 0.00 μB/f.u.



No. 8
An optimized crystal structure of Nd2PuGe4Pd3. Source: Alexandria via LeMat-Bulk, functional PBE-GGA.

abc: 4.311 4.311 11.490
angles: 90.00 90.00 90.00
Fractional coordinates of all 10 atoms:
Nd 0.000 0.500 0.228
Nd 0.500 0.000 0.772
Pu 0.000 0.000 0.500
Ge 0.000 0.000 0.000
Ge 0.000 0.500 0.668
Ge 0.500 0.000 0.332
Ge 0.500 0.500 0.000
Pd 0.000 0.500 0.883
Pd 0.500 0.000 0.117
Pd 0.500 0.500 0.500

Calculated values
E: -6.444 eV per atom
Volume: 214 Å³/cell
Energy of formation from the pure elements: -0.653 eV/atom
Space-group type: No. 115
Total magnetization: 5.36 μB/f.u.



No. 9
An optimized crystal structure of RuPbBr2. Source: Alexandria via LeMat-Bulk, functional PBE-GGA.

abc: 4.919 3.630 6.027
angles: 90.00 112.19 90.00
Fractional coordinates of all 4 atoms:
Ru 0.000 0.000 0.000
Pb 0.000 0.500 0.500
Br 0.500 0.000 0.500
Br 0.500 0.500 0.000

Calculated values
E_form (uncorrected): 44 kJ/mol of atoms
E above lowest polymorph: 471.9 meV per atom
E: -3.627 eV per atom
Volume: 100 Å³/cell
Space-group type: No. 10
Total magnetization: 2.17 μB/f.u.



No. 10
An optimized crystal structure of Al2Tl2Te. Source: Alexandria via LeMat-Bulk, functional PBE-GGA.

abc: 7.562 7.562 4.705
angles: 90.00 90.00 90.00
Fractional coordinates of all 10 atoms:
Al 0.128 0.372 0.000
Al 0.372 0.872 0.000
Al 0.628 0.128 0.000
Al 0.872 0.628 0.000
Tl 0.173 0.673 0.500
Tl 0.327 0.173 0.500
Tl 0.673 0.827 0.500
Tl 0.827 0.327 0.500
Te 0.000 0.000 0.000
Te 0.500 0.500 0.000

Calculated values
E_form (uncorrected): 11 kJ/mol of atoms
E: -2.954 eV per atom
Volume: 269 Å³/cell
Space-group type: No. 127
Total magnetization: 0.00 μB/f.u.



No. 11
An optimized crystal structure of KCu2Os. Source: Alexandria via LeMat-Bulk, functional PBE-GGA.

abc: 3.142 3.142 7.545
angles: 90.00 90.00 90.00
Fractional coordinates of all 4 atoms:
K 0.000 0.000 0.000
Cu 0.500 0.500 0.331
Cu 0.500 0.500 0.669
Os 0.000 0.000 0.500

Calculated values
E above lowest polymorph: 92.4 meV per atom
E: -4.417 eV per atom
Volume: 75 Å³/cell
Energy of formation from the pure elements: 0.713 eV/atom
Space-group type: No. 123
Total magnetization: 0.83 μB/f.u.



No. 12
An optimized crystal structure of TbTm4In2. Source: Alexandria via LeMat-Bulk, functional PBE-GGA.

abc: 7.889 6.699 6.321
angles: 74.53 54.92 50.55
Fractional coordinates of all 7 atoms:
Tb 0.000 0.000 0.000
Tm 0.250 0.250 0.250
Tm 0.332 0.668 0.332
Tm 0.668 0.332 0.668
Tm 0.750 0.750 0.750
In 0.277 0.277 0.723
In 0.723 0.723 0.277

Calculated values
E above lowest polymorph: 0.0 meV per atom
E: -4.091 eV per atom
Volume: 209 Å³/cell
Energy of formation from the pure elements: -0.092 eV/atom
Space-group type: No. 69
Total magnetization: 0.00 μB/f.u.



No. 13
An optimized crystal structure of HfZr3Co. Source: Alexandria via LeMat-Bulk, functional PBE-GGA.

abc: 4.841 4.841 4.841
angles: 90.00 90.00 90.00
Fractional coordinates of all 5 atoms:
Hf 0.000 0.000 0.000
Zr 0.000 0.500 0.500
Zr 0.500 0.000 0.500
Zr 0.500 0.500 0.000
Co 0.500 0.500 0.500

Calculated values
E above lowest polymorph: 290.7 meV per atom
E: -8.299 eV per atom
Volume: 113 Å³/cell
Energy of formation from the pure elements: 0.242 eV/atom
Space-group type: No. 221
Total magnetization: 0.00 μB/f.u.